# AlNiTe (PBE-GGA, relaxed)
# Energy relative to the lowest polymorph listed for this composition, meV per atom: 406
# Calculated total energy, eV per atom: -4.283
# Formation energy from raw total energies, eV/atom: -0.061
data_AlNiTe
_chemical_formula_sum 'Al1 Ni1 Te1'
_cell_length_a 3.7079
_cell_length_b 3.7079
_cell_length_c 4.9324
_cell_angle_alpha 90.00
_cell_angle_beta 90.00
_cell_angle_gamma 120.00
_symmetry_space_group_name_H-M 'P 3 m 1'
_symmetry_Int_Tables_number 156
loop_
_symmetry_equiv_pos_as_xyz
'x,y,z'
'-y,x-y,z'
'-x+y,-x,z'
'-y,-x,z'
'-x+y,y,z'
'x,x-y,z'
loop_
_atom_site_label
_atom_site_type_symbol
_atom_site_fract_x
_atom_site_fract_y
_atom_site_fract_z
_atom_site_occupancy
Al1 Al 0.0000 0.0000 0.0000 1
Ni1 Ni 0.6667 0.3333 0.2430 1
Te1 Te 0.3333 0.6667 0.5172 1

# Al2NiTe (PBE-GGA, relaxed)
# Calculated total energy, eV per atom: -4.288
# Formation energy from raw total energies, eV/atom: -0.186
data_Al2NiTe
_chemical_formula_sum 'Al2 Ni1 Te1'
_cell_length_a 4.1954
_cell_length_b 3.9521
_cell_length_c 5.4854
_cell_angle_alpha 90.00
_cell_angle_beta 111.81
_cell_angle_gamma 90.00
_symmetry_space_group_name_H-M 'P 1 m 1'
_symmetry_Int_Tables_number 6
loop_
_symmetry_equiv_pos_as_xyz
'x,y,z'
'x,-y,z'
loop_
_atom_site_label
_atom_site_type_symbol
_atom_site_fract_x
_atom_site_fract_y
_atom_site_fract_z
_atom_site_occupancy
Al1 Al 0.0000 0.0000 0.0000 1
Al2 Al 0.4565 0.5000 0.9175 1
Ni1 Ni 0.5899 0.0000 0.1853 1
Te1 Te 0.7587 0.5000 0.5218 1